The following is a PBE calculation of crystalline HgS2Br at its relaxed geometry, from Alexandria via LeMat-Bulk.

D(E_F) = 6.7 states/eV per cell
Energy relative to the elements, uncorrected = 816 meV per atom
E above lowest polymorph = 845 meV/atom
Spin magnetization = 0.000 μB/atom

Geometry as CIF:
```
data_HgS2Br
_chemical_formula_sum 'Hg1 S2 Br1'
_symmetry_space_group_name_H-M 'P 1'
_symmetry_Int_Tables_number 1
_symmetry_space_group_name_Hall 'P 1'
_cell_length_a 4.888
_cell_length_b 4.888
_cell_length_c 4.888
_cell_angle_alpha 60.00
_cell_angle_beta 60.00
_cell_angle_gamma 60.00
loop_
_atom_site_label
_atom_site_type_symbol
_atom_site_fract_x
_atom_site_fract_y
_atom_site_fract_z
_atom_site_occupancy
S1 S 0.750 0.750 0.750 1
S2 S 0.250 0.250 0.250 1
Hg1 Hg 0.500 0.500 0.500 1
Br1 Br 0.000 0.000 0.000 1
```